First-principles (PBE) data for a relaxed structure of BaSi2Br, as listed in the Alexandria database.

abc: 3.649 3.649 9.084
angles: 90.00 90.00 90.00
Element x y z (fractional)
Ba 0.000 0.000 0.000
Si 0.000 0.000 0.646
Si 0.500 0.500 0.689
Br 0.500 0.500 0.207

Calculated values
Space-group type: No. 99
Calculated total energy in eV per atom: -3.942
Formation energy (no corrections) in meV per atom: -332